# 1
# MgTa3Pb (meta-GGA SCAN, single point on PBEsol structure)
# VASP energy	-54.274	eV/atom
# formation enthalpy at 0 K	1.827	eV per atom
# total moment	0.000	μB per formula unit
data_MgTa3Pb
_symmetry_space_group_name_H-M 'P 1'
_symmetry_Int_Tables_number 1
_cell_length_a 4.7293
_cell_length_b 4.7293
_cell_length_c 4.7293
_cell_angle_alpha 90.00
_cell_angle_beta 90.00
_cell_angle_gamma 90.00
loop_
_symmetry_equiv_pos_as_xyz
'x,y,z'
loop_
_atom_site_label
_atom_site_type_symbol
_atom_site_fract_x
_atom_site_fract_y
_atom_site_fract_z
Mg1 Mg 0.0000 0.0000 0.0000
Ta1 Ta 0.0000 0.0000 0.5000
Ta2 Ta 0.0000 0.5000 0.0000
Ta3 Ta 0.5000 0.0000 0.0000
Pb1 Pb 0.5000 0.5000 0.5000

---

# 2
# Li8MnO4F2 (meta-GGA SCAN, single point on PBEsol structure)
# VASP energy	-6.865	eV/atom
# raw formation energy	-2.24	eV per atom
# total moment	5.000	μB per formula unit
data_Li8MnO4F2
_symmetry_space_group_name_H-M 'P 1'
_symmetry_Int_Tables_number 1
_cell_length_a 5.3556
_cell_length_b 5.4667
_cell_length_c 5.9263
_cell_angle_alpha 64.65
_cell_angle_beta 70.48
_cell_angle_gamma 63.40
loop_
_symmetry_equiv_pos_as_xyz
'x,y,z'
loop_
_atom_site_label
_atom_site_type_symbol
_atom_site_fract_x
_atom_site_fract_y
_atom_site_fract_z
Li1 Li 0.0460 0.3708 0.3247
Li2 Li 0.2664 0.1742 0.9418
Li3 Li 0.3017 0.9510 0.6309
Li4 Li 0.3600 0.7171 0.3730
Li5 Li 0.6400 0.2829 0.6270
Li6 Li 0.6983 0.0490 0.3691
Li7 Li 0.7336 0.8258 0.0582
Li8 Li 0.9540 0.6292 0.6753
Mn1 Mn 0.5000 0.5000 0.0000
O1 O 0.2993 0.5640 0.7448
O2 O 0.3980 0.0865 0.2443
O3 O 0.6020 0.9135 0.7557
O4 O 0.7007 0.4360 0.2552
F1 F 0.0308 0.7444 0.2847
F2 F 0.9692 0.2556 0.7153